Material: AcP12Ru4
Method: DFT, PBE-GGA
State: relaxed

Properties
- energy of formation (eV per atom) = -0.67
- magnetic moment (μB/cell) = 0.00
- final energy (eV per atom) = -6.917

The structure in POSCAR format:
```
AcP12Ru4
1.0
-4.069 4.069 4.069
4.069 -4.069 4.069
4.069 4.069 -4.069
Ac P Ru
1 12 4
Cartesian
0.000 0.000 0.000
2.923 1.177 0.000
5.215 1.177 0.000
4.069 -1.146 2.892
2.892 4.069 -1.146
1.177 0.000 2.923
4.069 1.146 2.892
0.000 2.923 1.177
2.892 4.069 1.146
1.177 0.000 5.215
0.000 5.215 1.177
-1.146 2.892 4.069
1.146 2.892 4.069
2.035 2.035 -2.035
2.035 -2.035 2.035
-2.035 2.035 2.035
2.035 2.035 2.035
```

---

Material: Ac2PRu
Method: DFT, PBE-GGA
State: relaxed

Properties
- energy of formation (eV per atom) = -0.33
- relative energy among the computed polymorphs (meV/atom) = 88
- magnetic moment (μB/cell) = 0.73
- final energy (eV per atom) = -6.052

The structure in POSCAR format:
```
Ac2PRu
1.0
0.000 3.744 3.744
3.744 0.000 3.744
3.744 3.744 0.000
Ac P Ru
2 1 1
Cartesian
1.872 1.872 1.872
5.616 5.616 5.616
0.000 0.000 0.000
3.744 3.744 3.744
```

---

Material: AcP2Ru
Method: DFT, PBE-GGA
State: relaxed

Properties
- energy of formation (eV per atom) = -0.89
- relative energy among the computed polymorphs (meV/atom) = 0
- magnetic moment (μB/cell) = 0.00
- final energy (eV per atom) = -6.940

The structure in POSCAR format:
```
AcP2Ru
1.0
2.065 1.192 5.297
-2.065 1.192 5.297
0.000 -2.384 5.297
Ac P Ru
1 2 1
Cartesian
0.000 0.000 0.000
0.000 0.000 3.342
0.000 0.000 12.550
0.000 0.000 7.946
```

---

Material: Ac2PRu
Method: DFT, PBE-GGA
State: relaxed

Properties
- energy of formation (eV per atom) = -0.41
- relative energy among the computed polymorphs (meV/atom) = 0
- magnetic moment (μB/cell) = 0.00
- final energy (eV per atom) = -6.140

The structure in POSCAR format:
```
Ac2PRu
1.0
5.203 0.000 0.000
0.000 5.203 0.000
0.000 0.000 3.835
Ac P Ru
2 1 1
Cartesian
0.000 2.602 0.000
2.602 0.000 0.000
0.000 0.000 1.917
2.602 2.602 1.917
```

---

- magnetic moment of number 1 (AcP12Ru4)?
  0.00 μB/cell

---

- Which of these has the lowest energy of formation?
  AcP2Ru

---

- Look up the magnetic moment of the first one.
  0.00 μB/cell

---

- The highest magnetic moment belongs to which entry?
  number 2